VASP calculation (PBE) on a relaxed Li2Sn2Pd3 crystal.

abc: 4.577 5.000 5.427
angles: 96.47 96.91 104.88
Space group P-1 (No. 2)
Asymmetric unit:
Li: 0.249 0.060 0.165 (multiplicity 2)
Sn: 0.396 0.340 0.721 (multiplicity 2)
Pd: 0.000 0.500 0.000 (multiplicity 1)
Pd: 0.183 0.786 0.564 (multiplicity 2)

- VASP energy (eV per atom) = -4.47
- polymorph energy (0 for the lowest one) (meV per atom) = 14
- ρ (Mg/m³) = 8.04
- D(E_F) (states/eV/cell) = 2.3
- ΔH_f (0 K) (kJ/mol of formula units) = -373